The following is a PBE calculation of a relaxed structure of BaLa3, from the Alexandria database.

Computed properties:
excess energy over the best structure of this formula in the dataset = 156.6 meV per atom
calculated volume = 41.88 Å³/atom
SG = Fm-3m (225)
E_form = 240 meV/atom

POSCAR file:
```
BaLa3
1.0
6.188 0.000 0.000
3.094 5.359 0.000
3.094 1.786 5.052
La Ba
3 1
Direct
0.250 0.250 0.250
0.750 0.750 0.750
0.500 0.500 0.500
0.000 0.000 0.000
```